First-principles (GGA-PBE) data for Ce2Th2Se7 after structural relaxation, as listed in Alexandria via LeMat-Bulk.

Lattice parameters (Å, degrees): 4.213 9.054 9.054 61.08 76.55 76.55
Each line ends with the local moment (μB).
Fractional positions:
Ce (0.738, 0.848, 0.677)  0.80
Ce (0.262, 0.323, 0.152)  0.80
Th (0.000, 0.785, 0.215)  0.01
Th (0.500, 0.333, 0.667)  0.02
Se (0.816, 0.070, 0.298)  -0.02
Se (0.864, 0.417, 0.855)  -0.01
Se (0.500, 0.012, 0.988)  -0.01
Se (0.609, 0.500, 0.282)  -0.01
Se (0.391, 0.718, 0.500)  -0.01
Se (0.184, 0.702, 0.930)  -0.02
Se (0.136, 0.145, 0.583)  -0.01

Computed properties:
Polymorph energy (0 for the lowest one)   0.00 eV/f.u.
DOS at the Fermi energy   13.30 states/eV per cell
Volume   26.46 Å³/atom
Total moment   1.68 μB per cell

---

First-principles (GGA-PBE) data for Sm4PtSe2Br after structural relaxation, as listed in Alexandria via LeMat-Bulk.

Lattice parameters (Å, degrees): 4.065 7.406 7.373 71.93 90.00 90.00
Fractional positions:
Sm (0.000, 0.737, 0.772)
Sm (0.000, 0.263, 0.228)
Sm (0.500, 0.763, 0.231)
Sm (0.500, 0.237, 0.769)
Pt (0.500, 0.500, 0.000)
Se (0.000, 0.000, 0.000)
Se (0.500, 0.000, 0.500)
Br (0.000, 0.500, 0.500)

Computed properties:
DOS at the Fermi energy   4.93 states/eV per cell
Volume   26.38 Å³/atom
Total moment   0.00 μB per cell

---

First-principles (GGA-PBE) data for Pa2BiTe6 after structural relaxation, as listed in Alexandria via LeMat-Bulk.

Lattice parameters (Å, degrees): 7.275 7.684 10.969 90.00 97.91 90.00
Each line ends with the local moment (μB).
Fractional positions:
Pa (0.942, 0.371, 0.780)  0.62
Pa (0.558, 0.871, 0.720)  0.62
Pa (0.442, 0.129, 0.280)  0.62
Pa (0.058, 0.629, 0.220)  0.62
Bi (0.500, 0.500, 0.000)  0.01
Bi (0.000, 0.000, 0.500)  0.01
Te (0.800, 0.933, 0.237)  -0.04
Te (0.815, 0.653, 0.584)  -0.03
Te (0.847, 0.692, 0.933)  -0.03
Te (0.653, 0.192, 0.567)  -0.03
Te (0.685, 0.153, 0.916)  -0.03
Te (0.700, 0.433, 0.263)  -0.04
Te (0.200, 0.067, 0.763)  -0.04
Te (0.185, 0.347, 0.416)  -0.03
Te (0.153, 0.308, 0.067)  -0.03
Te (0.347, 0.808, 0.433)  -0.03
Te (0.315, 0.847, 0.084)  -0.03
Te (0.300, 0.567, 0.737)  -0.04

Computed properties:
DOS at the Fermi energy   16.56 states/eV per cell
Volume   33.74 Å³/atom
Total moment   2.18 μB per cell

---

Formation energy (no corrections) (computed, eV per atom): -1.7670 -1.4837 -0.5596
DFT total energy (computed, Ry per atom): -0.47130 -0.41737 -0.38186